[1]
Dy6AlOs2, optimized geometry, DFT GGA-PBE; symmetry = No. 71; N(E_F) = 8.65 states/eV/f.u.; calculated volume = 25.50 A^3/atom; E = -6.2619 eV/atom
1.0
7.869 -0.129 -3.049
-4.157 7.009 -2.197
-0.255 0.129 8.435
Dy Os Al
12 4 2
Direct
0.463 0.280 0.183
0.314 0.645 0.331
0.686 0.018 0.331
0.200 0.244 0.444
0.200 0.756 0.956
0.537 0.720 0.817
0.902 0.720 0.183
0.800 0.244 0.044
0.098 0.280 0.817
0.686 0.355 0.669
0.800 0.756 0.556
0.314 0.982 0.669
0.316 0.000 0.316
0.684 0.000 0.684
0.500 0.622 0.122
0.500 0.378 0.878
0.000 0.000 0.000
0.000 0.500 0.500

=====

[2]
GaAgBiB2, optimized geometry, DFT GGA-PBE; symmetry = No. 123; N(E_F) = 2.19 states/eV/f.u.; calculated volume = 18.71 A^3/atom; E = -3.3307 eV/atom
1.0
4.176 0.000 0.000
0.000 5.363 0.000
0.000 0.000 4.176
B Ag Bi Ga
2 1 1 1
Direct
0.000 0.000 0.500
0.500 0.000 0.000
0.000 0.500 0.000
0.500 0.500 0.500
0.000 0.000 0.000

=====

[3]
KSnHg2Pb, optimized geometry, DFT GGA-PBE; symmetry = No. 123; N(E_F) = 3.81 states/eV/f.u.; calculated volume = 40.36 A^3/atom; E = -1.8035 eV/atom
1.0
-0.271 -4.755 3.419
4.552 -2.325 -2.872
3.690 2.526 3.804
Pb Hg K Sn
1 2 1 1
Direct
0.000 0.000 0.500
0.000 0.500 0.000
0.500 0.000 0.000
0.500 0.500 0.500
0.000 0.000 0.000

=====

[4]
ErLu2Ir, optimized geometry, DFT GGA-PBE; symmetry = No. 166; N(E_F) = 5.16 states/eV/f.u.; calculated volume = 29.72 A^3/atom; E = -5.7595 eV/atom
1.0
-3.537 -0.487 0.731
-1.065 -2.812 2.059
-0.587 4.745 9.401
Lu Ir Er
2 1 1
Direct
0.888 0.888 0.337
0.112 0.112 0.663
0.500 0.500 0.500
0.000 0.000 0.000

=====

[5]
PrEuAlTl, optimized geometry, DFT GGA-PBE; symmetry = No. 216; N(E_F) = 9.84 states/eV/f.u.; calculated volume = 29.04 A^3/atom; E = -5.5905 eV/atom
1.0
5.477 0.000 0.000
2.738 4.743 0.000
2.738 1.581 4.472
Pr Al Eu Tl
1 1 1 1
Direct
0.750 0.750 0.750
0.500 0.500 0.500
0.250 0.250 0.250
0.000 0.000 0.000

=====

[6]
PtRhCl2, optimized geometry, DFT GGA-PBE; symmetry = No. 216; N(E_F) = 4.07 states/eV/f.u.; calculated volume = 16.87 A^3/atom; E = -3.5457 eV/atom
1.0
4.570 0.000 0.000
2.285 3.958 0.000
2.285 1.319 3.731
Cl Pt Rh
2 1 1
Direct
0.250 0.250 0.250
0.000 0.000 0.000
0.500 0.500 0.500
0.750 0.750 0.750

=====

[7]
La3Ag4Hg4, optimized geometry, DFT GGA-PBE; symmetry = No. 71; N(E_F) = 8.83 states/eV/f.u.; calculated volume = 25.59 A^3/atom; E = -2.7866 eV/atom
1.0
-4.033 1.774 0.638
-3.100 -7.391 0.948
4.961 3.211 6.907
La Hg Ag
3 4 4
Direct
0.000 0.500 0.000
0.133 0.133 0.265
0.867 0.867 0.735
0.334 0.532 0.667
0.666 0.468 0.333
0.334 0.135 0.667
0.666 0.865 0.333
0.782 0.282 0.564
0.218 0.718 0.436
0.500 0.824 0.000
0.500 0.176 0.000

=====

[8]
Tb4Dy3Th2, optimized geometry, DFT GGA-PBE; symmetry = No. 12; N(E_F) = 12.52 states/eV/f.u.; calculated volume = 31.91 A^3/atom; E = -5.2413 eV/atom
1.0
3.512 0.000 -0.756
-0.752 8.821 -3.493
0.202 -0.589 9.471
Th Tb Dy
2 4 3
Direct
0.668 0.000 0.336
0.332 0.000 0.664
0.518 0.333 0.035
0.185 0.329 0.370
0.815 0.671 0.630
0.482 0.667 0.965
0.000 0.000 0.000
0.850 0.328 0.701
0.150 0.672 0.299

=====

[9]
KMgTl, optimized geometry, DFT GGA-PBE; symmetry = No. 6; N(E_F) = 2.17 states/eV/f.u.; calculated volume = 35.21 A^3/atom; E = -1.7399 eV/atom
1.0
4.955 -0.238 -0.045
0.238 4.964 -0.047
0.080 0.076 8.567
K Tl Mg
2 2 2
Direct
0.814 0.866 0.569
0.314 0.366 0.271
0.813 0.866 0.119
0.314 0.367 0.720
0.313 0.867 0.919
0.814 0.367 0.920

=====

[10]
CaMgBiPb, optimized geometry, DFT GGA-PBE; symmetry = No. 216; N(E_F) = 2.39 states/eV/f.u.; calculated volume = 28.71 A^3/atom; E = -3.1080 eV/atom
1.0
5.456 0.000 0.000
2.728 4.725 0.000
2.728 1.575 4.455
Mg Bi Ca Pb
1 1 1 1
Direct
0.500 0.500 0.500
0.250 0.250 0.250
0.000 0.000 0.000
0.750 0.750 0.750

=====

[11]
K5TeS6, optimized geometry, DFT GGA-PBE; symmetry = No. 12; N(E_F) = 13.27 states/eV/f.u.; calculated volume = 30.80 A^3/atom; E = -3.4109 eV/atom
1.0
7.584 0.376 0.000
2.467 7.418 0.000
1.234 3.709 6.681
K S Te
5 6 1
Direct
0.000 0.667 0.666
0.500 0.831 0.337
0.000 0.333 0.334
0.500 0.500 0.000
0.500 0.169 0.663
0.208 0.664 0.268
0.802 0.806 0.000
0.792 0.068 0.268
0.208 0.932 0.732
0.792 0.336 0.732
0.198 0.194 0.000
0.000 0.000 0.000

=====

[12]
CaIrSe2, optimized geometry, DFT GGA-PBE; symmetry = No. 10; N(E_F) = 1.07 states/eV/f.u.; calculated volume = 22.59 A^3/atom; E = -5.1530 eV/atom
1.0
3.863 0.000 0.000
0.000 4.883 -0.022
0.000 1.025 4.785
Se Ir Ca
2 1 1
Direct
0.000 0.951 0.951
0.000 0.549 0.549
0.500 0.750 0.750
0.500 0.250 0.250

=====

[13]
NdGa4Ir2Pd, optimized geometry, DFT GGA-PBE; symmetry = No. 166; N(E_F) = 4.36 states/eV/f.u.; calculated volume = 17.53 A^3/atom; E = -5.5511 eV/atom
1.0
4.296 0.000 0.000
2.148 3.721 0.000
2.148 1.240 8.772
Ga Pd Ir Nd
4 1 2 1
Direct
0.130 0.130 0.611
0.400 0.400 0.799
0.600 0.600 0.201
0.870 0.870 0.389
0.500 0.500 0.500
0.767 0.767 0.698
0.233 0.233 0.302
0.000 0.000 0.000

=====

[14]
KB, optimized geometry, DFT GGA-PBE; symmetry = No. 47; N(E_F) = 1.84 states/eV/f.u.; calculated volume = 24.45 A^3/atom; E = -1.9837 eV/atom
1.0
3.502 0.000 0.000
0.000 4.001 0.000
0.000 0.000 3.490
B K
1 1
Direct
0.000 0.500 0.000
0.500 0.000 0.500

=====

[15]
Cs3TePb, optimized geometry, DFT GGA-PBE; symmetry = No. 221; N(E_F) = 0.00 states/eV/f.u.; calculated volume = 79.06 A^3/atom; E = -2.2186 eV/atom
1.0
-1.489 -7.000 -1.624
6.871 -0.901 -2.417
2.106 -2.011 6.737
Pb Cs Te
1 3 1
Direct
0.500 0.500 0.500
0.000 0.000 0.500
0.000 0.500 0.000
0.500 0.000 0.000
0.000 0.000 0.000

=====

[16]
SiTc3Ru, optimized geometry, DFT GGA-PBE; symmetry = No. 221; N(E_F) = 6.33 states/eV/f.u.; calculated volume = 19.78 A^3/atom; E = -7.3168 eV/atom
1.0
-1.868 1.640 -3.899
1.999 -3.415 -2.394
-3.728 -2.652 0.671
Ru Tc Si
1 3 1
Direct
0.000 0.000 0.000
0.500 0.000 0.000
0.000 0.000 0.500
0.000 0.500 0.000
0.500 0.500 0.500

=====

[17]
AgRh2Se, optimized geometry, DFT GGA-PBE; symmetry = No. 71; N(E_F) = 2.82 states/eV/f.u.; calculated volume = 16.15 A^3/atom; E = -5.0694 eV/atom
1.0
4.984 -0.057 -0.025
1.753 4.666 0.025
-2.940 -2.931 2.759
Rh Se Ag
2 1 1
Direct
0.964 0.964 0.000
0.536 0.536 0.000
0.750 0.250 0.500
0.250 0.750 0.500

=====

[18]
SrAcNiPt, optimized geometry, DFT GGA-PBE; symmetry = No. 156; N(E_F) = 2.66 states/eV/f.u.; calculated volume = 27.17 A^3/atom; E = -4.9595 eV/atom
1.0
4.868 0.000 0.000
-2.434 4.216 0.000
0.000 0.000 5.296
Ni Sr Pt Ac
1 1 1 1
Direct
0.000 0.000 0.020
0.667 0.333 0.267
0.000 0.000 0.514
0.333 0.667 0.771

=====

[19]
LaGa5Au7, optimized geometry, DFT GGA-PBE; symmetry = No. 44; N(E_F) = 3.93 states/eV/f.u.; calculated volume = 18.95 A^3/atom; E = -3.6271 eV/atom
1.0
5.651 0.000 0.000
2.826 6.603 -0.100
2.826 -0.121 6.602
Ga Au La
5 7 1
Direct
0.736 0.764 0.764
0.011 0.003 0.491
0.011 0.491 0.003
0.495 0.003 0.491
0.495 0.491 0.003
0.987 0.353 0.673
0.987 0.673 0.353
0.656 0.344 0.344
0.515 0.184 0.785
0.515 0.785 0.184
0.324 0.676 0.676
0.274 0.226 0.226
0.994 0.006 0.006

=====

[20]
LiCo3Ni9, optimized geometry, DFT GGA-PBE; symmetry = No. 2; N(E_F) = 18.17 states/eV/f.u.; calculated volume = 12.71 A^3/atom; E = -5.4752 eV/atom
1.0
4.521 -1.764 -0.086
-2.872 6.044 -5.104
-0.147 -0.985 8.520
Li Ni Co
1 9 3
Direct
0.000 0.000 0.000
0.240 0.505 0.753
0.000 0.500 0.000
0.731 0.985 0.734
0.760 0.495 0.247
0.269 0.015 0.266
0.753 0.003 0.256
0.000 0.500 0.500
0.247 0.997 0.744
0.000 0.000 0.500
0.500 0.500 0.500
0.500 0.000 0.500
0.500 0.500 0.000

=====

[21]
BeSiPd4, optimized geometry, DFT GGA-PBE; symmetry = No. 14; N(E_F) = 1.51 states/eV/f.u.; calculated volume = 14.66 A^3/atom; E = -5.3822 eV/atom
1.0
-5.467 -0.252 1.171
0.086 -5.630 -0.812
1.285 -0.748 5.323
Pd Si Be
8 2 2
Direct
0.362 0.853 0.157
0.159 0.840 0.643
0.638 0.147 0.843
0.341 0.340 0.357
0.138 0.353 0.843
0.659 0.660 0.643
0.841 0.160 0.357
0.862 0.647 0.157
0.000 0.000 0.000
0.500 0.500 0.000
0.000 0.500 0.500
0.500 0.000 0.500

=====

[22]
LiMnSe2, optimized geometry, DFT GGA-PBE; symmetry = No. 123; N(E_F) = 2.19 states/eV/f.u.; calculated volume = 18.31 A^3/atom; E = -4.9130 eV/atom
1.0
-1.682 2.504 -1.248
-2.786 -1.633 0.477
-0.544 2.759 6.272
Li Mn Se
1 1 2
Direct
0.500 0.500 0.250
0.500 0.500 0.750
0.000 0.000 0.517
0.000 0.000 0.983

=====

[23]
BaCaCd2, optimized geometry, DFT GGA-PBE; symmetry = No. 22; N(E_F) = 1.15 states/eV/f.u.; calculated volume = 30.40 A^3/atom; E = -1.6152 eV/atom
1.0
-4.720 -1.429 2.591
2.857 -1.096 4.655
0.449 4.969 -2.449
Ca Ba Cd
1 1 2
Direct
0.750 0.250 0.500
0.500 0.500 0.000
0.250 0.750 0.500
0.000 0.000 0.000

=====

[24]
Er3Pd2Rh, optimized geometry, DFT GGA-PBE; symmetry = No. 10; N(E_F) = 2.33 states/eV/f.u.; calculated volume = 20.51 A^3/atom; E = -6.1738 eV/atom
1.0
-0.620 2.119 4.364
-4.886 -4.322 4.132
5.291 -3.594 2.497
Er Pd Rh
6 4 2
Direct
0.500 0.000 0.246
0.169 0.662 0.756
0.831 0.338 0.756
0.169 0.662 0.244
0.500 0.000 0.754
0.831 0.338 0.244
0.000 0.000 0.000
0.000 0.000 0.500
0.334 0.332 0.500
0.666 0.668 0.500
0.666 0.668 0.000
0.334 0.332 0.000

=====

[25]
Ba2NaLa, optimized geometry, DFT GGA-PBE; symmetry = No. 123; N(E_F) = 7.18 states/eV/f.u.; calculated volume = 48.69 A^3/atom; E = -2.4012 eV/atom
1.0
-0.226 -3.401 -2.185
4.041 -0.164 -0.164
0.144 -6.430 9.994
La Ba Na
1 2 1
Direct
0.500 0.500 0.500
0.000 0.000 0.251
0.000 0.000 0.749
0.500 0.500 0.000